ReHO2 | PBE | optimized geometry

Unit cell a=2.7942 b=2.7942 c=16.7439 alpha=90.00 beta=90.00 gamma=120.00
Space group R-3m (No. 166, hexagonal axes)
Inequivalent atoms, fractional coordinates:
Re: 0.0000 0.0000 0.0000 x3
H: 0.0000 0.0000 0.5000 x3
O: 0.0000 0.0000 0.1077 x6

Computed properties:
Magnetic moment in μB/cell: 0.0
Offset from the most stable computed form in eV per atom: 0.805


Er3Ni9GeB2 | PBE | optimized geometry

Unit cell a=5.3802 b=5.3802 c=8.2985 alpha=90.00 beta=90.00 gamma=120.00
Space group P-3m1 (No. 164)
Inequivalent atoms, fractional coordinates:
Er: 0.0000 0.0000 0.0000 x1
Er: 0.3333 0.6667 0.6275 x2
Ni: 0.0000 0.5000 0.0000 x3
Ni: 0.1659 0.3318 0.2802 x6
Ge: 0.0000 0.0000 0.5000 x1
B: 0.3333 0.6667 0.1445 x2

Computed properties:
Magnetic moment in μB/cell: 0.0
Energy relative to the elements in eV/atom: -0.45


TaNbH3 | PBE | optimized geometry

Unit cell a=3.5680 b=3.5680 c=3.5680 alpha=90.00 beta=90.00 gamma=90.00
Space group Pm-3m (No. 221)
Inequivalent atoms, fractional coordinates:
Ta: 0.0000 0.0000 0.0000 x1
Nb: 0.5000 0.5000 0.5000 x1
H: 0.0000 0.5000 0.5000 x3

Computed properties:
Magnetic moment in μB/cell: 0.0
Offset from the most stable computed form in eV per atom: 0.417


HfPdPb2 | PBE | optimized geometry

Unit cell a=3.3176 b=3.3176 c=30.8300 alpha=90.00 beta=90.00 gamma=120.00
Space group R-3m (No. 166, hexagonal axes)
Inequivalent atoms, fractional coordinates:
Hf: 0.0000 0.0000 0.0000 x3
Pd: 0.0000 0.0000 0.5000 x3
Pb: 0.0000 0.0000 0.0964 x6

Computed properties:
Magnetic moment in μB/cell: 0.0
Offset from the most stable computed form in eV per atom: 0.051
Energy relative to the elements in eV/atom: 0.17